First-principles (PBE) data for crystalline Ho2Te2S at its relaxed geometry, as listed in the Alexandria database.

Summary:
ΔE_f (raw)   -1513 meV per atom
Energy above the most stable polymorph in this dataset   53 meV/atom
Calculated total energy   -5.43 eV/atom

Cell lengths 6.191, 8.435, 12.133 Å; angles 90.00, 90.00, 90.00 degrees
Fractional positions:
S 0.250 0.292 0.118
S 0.750 0.708 0.882
S 0.750 0.208 0.618
S 0.250 0.792 0.382
Te 0.250 0.339 0.439
Te 0.250 0.454 0.788
Te 0.750 0.046 0.288
Te 0.250 0.954 0.712
Te 0.750 0.661 0.561
Te 0.250 0.839 0.061
Te 0.750 0.161 0.939
Te 0.750 0.546 0.212
Ho 0.250 0.660 0.572
Ho 0.250 0.562 0.233
Ho 0.750 0.438 0.767
Ho 0.750 0.938 0.733
Ho 0.250 0.062 0.267
Ho 0.250 0.160 0.928
Ho 0.750 0.340 0.428
Ho 0.750 0.840 0.072